BaTbPa2O8, relaxed, DFT PBE-GGA; electronic total energy = -104.2 eV/cell
1.0
-2.819 3.170 3.658
-2.735 -4.536 1.823
6.686 -0.167 1.008
Ba Tb Pa O
1 1 2 8
Direct
0.750 0.250 0.500
0.000 0.000 0.000
0.500 0.500 0.000
0.250 0.750 0.500
0.882 0.841 0.237
0.355 0.396 0.237
0.604 0.645 0.762
0.158 0.117 0.762
0.883 0.396 0.238
0.355 0.842 0.238
0.159 0.645 0.763
0.604 0.118 0.763

BaTbPaO6, relaxed, DFT PBE-GGA; electronic total energy = -70.3 eV/cell
1.0
-1.695 -3.168 -3.216
-2.000 -3.587 4.587
-3.682 4.345 -2.339
Ba Tb Pa O
1 1 1 6
Direct
0.500 0.667 0.333
0.500 0.000 0.000
0.000 0.333 0.667
0.751 0.654 0.718
0.751 0.282 0.936
0.751 0.064 0.346
0.249 0.282 0.346
0.249 0.654 0.936
0.249 0.064 0.718

Ba2PaTcO6, relaxed, DFT PBE-GGA; electronic total energy = -80.2 eV/cell
1.0
-0.470 -0.836 4.194
4.276 -0.139 0.451
0.095 8.406 1.687
Ba Pa Tc O
2 1 1 6
Direct
0.000 0.000 0.713
0.000 0.000 0.287
0.500 0.500 0.000
0.500 0.500 0.500
0.500 0.000 0.000
0.500 0.000 0.500
0.000 0.500 0.000
0.000 0.500 0.500
0.500 0.500 0.747
0.500 0.500 0.253

BaPaTc2O8, relaxed, DFT PBE-GGA; electronic total energy = -96.9 eV/cell
1.0
-3.929 -4.047 1.797
2.051 -0.127 -5.552
5.676 -4.533 2.201
Ba Pa Tc O
1 1 2 8
Direct
0.000 0.000 0.000
0.000 0.000 0.500
0.667 0.333 0.220
0.333 0.667 0.780
0.333 0.667 0.014
0.325 0.164 0.313
0.836 0.162 0.313
0.667 0.333 0.986
0.164 0.838 0.687
0.675 0.836 0.687
0.162 0.325 0.687
0.838 0.675 0.313